Below is a geometry-optimized KPa3C4N12 structure, with properties calculated at the PBE-GGA level.

As for the density of states at the Fermi level: 18.98 states/eV/cell. The total magnetization is 6.461 μB per cell. As for the total energy: -8.694 eV/atom. The formation energy (no corrections) is -0.375 eV per atom.

a b c (Å): 10.2278 10.2278 9.2530
angles (deg): 90.00 90.00 120.00
With the nearest neighbours (Å) after each atom.
Space group R32 (No. 155, hexagonal axes)
Symmetry-distinct sites (fractional):
K 0.0000 0.0000 0.0000 x3  6 N 2.92
Pa 0.0000 0.5364 0.0000 x9  6 N 2.19-2.37
C 0.0000 0.0000 0.5000 x3  3 N 1.36
C 0.0000 0.4706 0.5000 x9  3 N 1.34-1.36
N 0.0000 0.6031 0.5000 x9  1 C 1.36
N 0.0000 0.8674 0.5000 x9  1 C 1.36
N 0.0095 0.2146 0.7858 x18  1 C 1.34